Entry from Alexandria: crystalline ZrBeGeH2 at its relaxed geometry (PBE).

Cell and atoms, written as extended XYZ:
```
5
Lattice="3.708 0.000 0.000 0.000 3.708 0.000 0.000 0.000 5.446" Properties=species:S:1:pos:R:3 pbc="T T T"
Zr 0.000 0.000 0.000
Be 1.854 1.854 2.723
Ge 0.000 0.000 2.723
H 0.000 1.854 0.000
H 1.854 0.000 0.000
```

Values from the calculation:
Energy in eV per cell: -21.89
SG: No. 123